VASP calculation (PBE+U) on a relaxed structure of Ba3Pu2VO9.

Geometry as POSCAR:
```
Ba3Pu2VO9
1.0
6.0264 0.0000 0.0000
-3.0132 5.2190 0.0000
0.0000 0.0000 7.4485
Ba Pu V O
3 2 1 9
direct
0.0000 0.0000 0.0000
0.3333 0.6667 0.6565
0.6667 0.3333 0.3435
0.3333 0.6667 0.1767
0.6667 0.3333 0.8233
0.0000 0.0000 0.5000
0.0000 0.5000 0.0000
0.1617 0.3234 0.3392
0.1617 0.8383 0.3392
0.3234 0.1617 0.6608
0.5000 0.0000 0.0000
0.5000 0.5000 0.0000
0.6766 0.8383 0.3392
0.8383 0.1617 0.6608
0.8383 0.6766 0.6608
```

## Properties
DOS at the Fermi energy = 9.7 states/eV/cell
total energy = -128.43 eV per formula unit